[1]
This record from the Alexandria database describes crystalline PrNdAl at its relaxed geometry. The functional is PBE-GGA.

Results
VASP energy: -4.625 eV per atom
Formation energy from the elements: -0.19 eV per atom
Calculated volume: 29.7 Å³ per atom
Total moment: 0.0 μB/cell

abc: 7.4957 7.4957 7.4957
angles: 152.61 152.61 39.13
Fractional positions:
Pr  0.0000  0.0000  0.0000
Nd  0.2901  0.2901  0.0000
Al  0.6464  0.6464  0.0000

=====

[2]
This record from the Alexandria database describes crystalline RbAg2Hg2 at its relaxed geometry. The functional is PBE-GGA.

Results
VASP energy: -1.429 eV per atom
Formation energy from the elements: 0.03 eV per atom
Calculated volume: 25.2 Å³ per atom
Total moment: 0.0 μB/cell

abc: 8.8766 8.8766 3.1943
angles: 90.00 90.00 90.00
Fractional positions:
Rb  0.0000  0.0000  0.0000
Rb  0.5000  0.5000  0.0000
Ag  0.1230  0.3770  0.0000
Ag  0.3770  0.8770  0.0000
Ag  0.6230  0.1230  0.0000
Ag  0.8770  0.6230  0.0000
Hg  0.1686  0.6686  0.5000
Hg  0.3314  0.1686  0.5000
Hg  0.6686  0.8314  0.5000
Hg  0.8314  0.3314  0.5000